# CsPmCoO3

A relaxed structure of CsPmCoO3 (PBE with a Hubbard U, Alexandria via LeMat-Bulk).

a = 8.1439 Å, b = 3.7652 Å, c = 8.9754 Å
α = 90.00°, β = 112.18°, γ = 90.00°
Atoms (fractional coordinates):
Cs (0.2061, 0.2500, 0.2068)
Cs (0.7939, 0.7500, 0.7932)
Pm (0.3304, 0.7500, 0.8547)
Pm (0.6696, 0.2500, 0.1453)
Co (0.0429, 0.2500, 0.6251)
Co (0.9571, 0.7500, 0.3749)
O (0.0679, 0.7500, 0.6018)
O (0.1400, 0.2500, 0.8501)
O (0.4772, 0.7500, 0.1282)
O (0.5228, 0.2500, 0.8718)
O (0.8600, 0.7500, 0.1499)
O (0.9321, 0.2500, 0.3982)

Computed properties:
DFT total energy	-6.214	eV per atom
total magnetic moment	1.00	μB per formula unit